No. 1
The following is a PBE calculation of Er2VSi4Pt3 after structural relaxation, from Alexandria.

a = 4.0881 Å, b = 4.0881 Å, c = 10.2802 Å
α = 90.00°, β = 90.00°, γ = 90.00°
Fractional positions:
Er 0.0000 0.5000 0.2499
Er 0.5000 0.0000 0.7501
V 0.0000 0.0000 0.5000
Si 0.0000 0.0000 0.0000
Si 0.0000 0.5000 0.6370
Si 0.5000 0.0000 0.3630
Si 0.5000 0.5000 0.0000
Pt 0.0000 0.5000 0.8722
Pt 0.5000 0.0000 0.1278
Pt 0.5000 0.5000 0.5000

The value obtained for the uncorrected formation energy is -0.9585 eV per atom. The value obtained for the size of the total moment is 1.19 μB per cell. The value obtained for the calculated density is 10.5 Mg/m³.


No. 2
The following is a PBE calculation of Y2ErSi2Pt7 after structural relaxation, from Alexandria.

a = 4.0335 Å, b = 4.0335 Å, c = 13.7639 Å
α = 96.21°, β = 96.21°, γ = 89.51°
Fractional positions:
Y 0.1170 0.1170 0.3557
Y 0.8830 0.8830 0.6443
Er 0.0000 0.0000 0.0000
Si 0.4049 0.4049 0.7429
Si 0.5951 0.5951 0.2571
Pt 0.0598 0.5594 0.1604
Pt 0.3661 0.3661 0.5719
Pt 0.4406 0.9402 0.8396
Pt 0.5000 0.5000 0.0000
Pt 0.5594 0.0598 0.1604
Pt 0.6339 0.6339 0.4281
Pt 0.9402 0.4406 0.8396

The value obtained for the uncorrected formation energy is -1.1388 eV per atom. The value obtained for the size of the total moment is 0.00 μB per cell. The value obtained for the calculated density is 13.3 Mg/m³.


No. 3
The following is a PBE calculation of YEr2Si2Pt7 after structural relaxation, from Alexandria.

a = 4.0262 Å, b = 4.0262 Å, c = 13.7763 Å
α = 96.44°, β = 96.44°, γ = 89.49°
Fractional positions:
Y 0.0000 0.0000 0.0000
Er 0.1221 0.1221 0.3571
Er 0.8779 0.8779 0.6429
Si 0.4000 0.4000 0.7403
Si 0.6000 0.6000 0.2597
Pt 0.0635 0.5631 0.1634
Pt 0.3605 0.3605 0.5702
Pt 0.4369 0.9365 0.8366
Pt 0.5000 0.5000 0.0000
Pt 0.5631 0.0635 0.1634
Pt 0.6395 0.6395 0.4298
Pt 0.9365 0.4369 0.8366

The value obtained for the uncorrected formation energy is -1.1146 eV per atom. The value obtained for the size of the total moment is 0.00 μB per cell. The value obtained for the calculated density is 13.9 Mg/m³.


No. 4
The following is a PBE calculation of Y2ErSi3Pt4 after structural relaxation, from Alexandria.

a = 4.1761 Å, b = 4.1761 Å, c = 10.9630 Å
α = 90.00°, β = 90.00°, γ = 90.00°
Fractional positions:
Y 0.0000 0.5000 0.2238
Y 0.5000 0.0000 0.7762
Er 0.0000 0.0000 0.5000
Si 0.0000 0.5000 0.8770
Si 0.5000 0.0000 0.1230
Si 0.5000 0.5000 0.5000
Pt 0.0000 0.0000 0.0000
Pt 0.0000 0.5000 0.6611
Pt 0.5000 0.0000 0.3389
Pt 0.5000 0.5000 0.0000

The value obtained for the uncorrected formation energy is -1.0687 eV per atom. The value obtained for the size of the total moment is 0.00 μB per cell. The value obtained for the calculated density is 10.5 Mg/m³.